An optimized crystal structure of Nd8Te4AuSe3, computed with PBE.

Calculated values
VASP energy, eV per atom: -5.549
Calculated density, g/cm3: 7.3
Energy relative to the elements, uncorrected, meV per atom: -1521
D(E_F), states/eV/cell: 7.317

extended XYZ file:
```
16
Lattice="8.7041 0.0000 0.0000 0.0000 8.8347 0.0873 -4.3521 -4.3471 6.1574" Properties=species:S:1:pos:R:3 pbc="T T T"
Nd 2.1726 2.3419 0.1105
Nd 4.3521 0.1725 3.1990
Nd 6.5316 2.3419 0.1105
Nd 0.0000 4.3151 3.0457
Nd 2.1795 2.1458 6.1342
Nd 0.0000 0.2055 3.2267
Nd 4.3521 4.2821 3.0180
Nd -2.1795 2.1458 6.1342
Te 2.1760 -2.1735 3.0787
Te 0.0000 0.0000 0.0000
Te -2.1760 -2.1735 3.0787
Te 4.3521 0.0000 0.0000
Se -2.1760 2.2438 3.1223
Se 2.1760 2.2438 3.1223
Se 4.3521 4.4173 0.0436
Au 0.0000 4.4173 0.0436
```